# Be2WSe

Crystalline Be2WSe at its relaxed geometry (PBE, the Alexandria database).

Cell lengths 3.384, 3.151, 4.984 Å; angles 89.95, 90.00, 90.00 degrees
Positions (direct):
Be 0.000 0.249 0.948
Be 0.000 0.251 0.552
Se 0.500 0.250 0.250
W 0.500 0.750 0.750

Computed properties:
**Uncorrected energy**: -5.6814 eV per atom
**M_tot**: 0.0 Bohr magnetons per cell